# 1
DFT (PBE) results for Sm3HoTm2Te6 after structural relaxation.

Unit cell a=4.3307 b=8.8603 c=9.8506 alpha=104.63 beta=102.70 gamma=90.00
With the nearest neighbours (Å) after each atom.
Fractional positions:
Sm  0.5000  0.5000  0.0000  6 Te 3.14-3.16
Sm  0.8350  0.1682  0.6699  6 Te 3.13-3.16
Sm  0.1650  0.8318  0.3301  6 Te 3.13-3.16
Ho  0.5000  0.0000  0.0000  6 Te 3.06-3.07
Tm  0.8342  0.6689  0.6684  6 Te 3.02-3.05
Tm  0.1658  0.3311  0.3316  6 Te 3.02-3.05
Te  0.3346  0.9098  0.6693  2 Tm 3.04, 1 Ho 3.07, 3 Sm 3.15
Te  0.6699  0.5753  0.3399  3 Tm 3.05, 3 Sm 3.16
Te  0.6654  0.0902  0.3307  2 Tm 3.04, 1 Ho 3.07, 3 Sm 3.15
Te  0.0033  0.2454  0.0065  1 Tm 3.02, 2 Ho 3.06, 3 Sm 3.13-3.14
Te  0.9967  0.7546  0.9935  1 Tm 3.02, 2 Ho 3.06, 3 Sm 3.13-3.14
Te  0.3301  0.4247  0.6601  3 Tm 3.05, 3 Sm 3.16

Properties
SG = C2/m (12)
energy relative to the elements, uncorrected = -1.294 eV per atom
energy = -5.1712 eV/atom

# 2
DFT (PBE) results for Pm3DyCl after structural relaxation.

Unit cell a=5.4218 b=5.4218 c=5.4218 alpha=90.00 beta=90.00 gamma=90.00
With the nearest neighbours (Å) after each atom.
Fractional positions:
Cl  0.0000  0.0000  0.0000  6 Pm 2.71
Pm  0.0000  0.5000  0.0000  2 Cl 2.71
Pm  0.0000  0.0000  0.5000  2 Cl 2.71
Pm  0.5000  0.0000  0.0000  2 Cl 2.71
Dy  0.5000  0.5000  0.5000  12 Pm 3.83

Properties
SG = Pm-3m (221)
energy relative to the elements, uncorrected = -0.490 eV per atom
energy = -4.6300 eV/atom

# 3
DFT (PBE) results for KTa2Pd after structural relaxation.

Unit cell a=4.7197 b=4.7197 c=4.7197 alpha=60.00 beta=60.00 gamma=60.00
With the nearest neighbours (Å) after each atom.
Fractional positions:
K  0.0000  0.0000  0.0000  8 Ta 2.89
Pd  0.5000  0.5000  0.5000  8 Ta 2.89
Ta  0.2500  0.2500  0.2500  4 Pd 2.89, 4 K 2.89
Ta  0.7500  0.7500  0.7500  4 K 2.89, 4 Pd 2.89

Properties
SG = Fm-3m (225)
E above lowest polymorph = 0.0 meV/atom
energy = -6.2042 eV/atom